# LuAgTeO PBE relaxed
data_LuAgTeO
_cell_length_a 4.413
_cell_length_b 6.884
_cell_length_c 6.529
_cell_angle_alpha 90.00
_cell_angle_beta 90.00
_cell_angle_gamma 90.00
_space_group_name_H-M_alt 'P m c 21'
_space_group_IT_number 26
loop_
_space_group_symop_operation_xyz
'x,y,z'
'-x,-y,z+1/2'
'-x,y,z'
'x,-y,z+1/2'
loop_
_atom_site_label
_atom_site_type_symbol
_atom_site_fract_x
_atom_site_fract_y
_atom_site_fract_z
Lu1 Lu 0.000 0.127 0.000
Ag1 Ag 0.500 0.263 0.618
Te1 Te 0.500 0.335 0.196
O1 O 0.000 0.111 0.686
# Spin magnetization, μB/f.u.: 0.00
# Energy, eV per atom: -5.316

---

# LuAgTeO PBE relaxed
data_LuAgTeO
_cell_length_a 7.592
_cell_length_b 7.251
_cell_length_c 6.453
_cell_angle_alpha 90.00
_cell_angle_beta 103.21
_cell_angle_gamma 90.00
_space_group_name_H-M_alt 'P 1 21/c 1'
_space_group_IT_number 14
loop_
_space_group_symop_operation_xyz
'x,y,z'
'-x,-y,-z'
'-x,y+1/2,-z+1/2'
'x,-y+1/2,z+1/2'
loop_
_atom_site_label
_atom_site_type_symbol
_atom_site_fract_x
_atom_site_fract_y
_atom_site_fract_z
Lu1 Lu 0.037 0.128 0.212
Ag1 Ag 0.417 0.705 0.510
Te1 Te 0.305 0.048 0.662
O1 O 0.054 0.654 0.616
# Spin magnetization, μB/f.u.: 0.00
# Energy, eV per atom: -5.555

---

# LuPaAg PBE relaxed
data_LuPaAg
_cell_length_a 6.927
_cell_length_b 6.927
_cell_length_c 6.927
_cell_angle_alpha 90.00
_cell_angle_beta 90.00
_cell_angle_gamma 90.00
_space_group_name_H-M_alt 'F -4 3 m'
_space_group_IT_number 216
_space_group_name_Hall 'F -4 2 3'
loop_
_atom_site_label
_atom_site_type_symbol
_atom_site_fract_x
_atom_site_fract_y
_atom_site_fract_z
Lu1 Lu 0.000 0.000 0.000
Pa1 Pa 0.000 0.000 0.500
Ag1 Ag 0.250 0.250 0.250
# ΔE to the lowest computed polymorph, meV per atom: 0
# Spin magnetization, μB/f.u.: 1.33
# Energy relative to the elements, meV/atom: 565
# Energy, eV per atom: -5.050

---

# LuAgPb PBE relaxed
data_LuAgPb
_cell_length_a 7.4033
_cell_length_b 7.4033
_cell_length_c 4.5387
_cell_angle_alpha 90.00
_cell_angle_beta 90.00
_cell_angle_gamma 120.00
_space_group_name_H-M_alt 'P -6 2 m'
_space_group_IT_number 189
_space_group_name_Hall 'P -6 -2'
loop_
_atom_site_label
_atom_site_type_symbol
_atom_site_fract_x
_atom_site_fract_y
_atom_site_fract_z
Lu1 Lu 0.0000 0.5645 0.0000
Ag1 Ag 0.0000 0.2441 0.5000
Pb1 Pb 0.0000 0.0000 0.0000
Pb2 Pb 0.3333 0.6667 0.5000
# Spin magnetization, μB/f.u.: 0.00
# Energy, eV per atom: -3.985

---

# LuAgPb PBE relaxed
data_LuAgPb
_cell_length_a 7.7421
_cell_length_b 7.7421
_cell_length_c 4.1925
_cell_angle_alpha 90.00
_cell_angle_beta 90.00
_cell_angle_gamma 120.00
_space_group_name_H-M_alt 'P -6 2 m'
_space_group_IT_number 189
_space_group_name_Hall 'P -6 -2'
loop_
_atom_site_label
_atom_site_type_symbol
_atom_site_fract_x
_atom_site_fract_y
_atom_site_fract_z
Lu1 Lu 0.0000 0.6020 0.0000
Ag1 Ag 0.0000 0.0000 0.0000
Ag2 Ag 0.3333 0.6667 0.5000
Pb1 Pb 0.0000 0.2677 0.5000
# Spin magnetization, μB/f.u.: 0.00
# Energy, eV per atom: -3.930

---

# LuAgPb PBE relaxed
data_LuAgPb
_cell_length_a 8.4077
_cell_length_b 8.4077
_cell_length_c 3.5914
_cell_angle_alpha 90.00
_cell_angle_beta 90.00
_cell_angle_gamma 120.00
_space_group_name_H-M_alt 'P -6 2 m'
_space_group_IT_number 189
_space_group_name_Hall 'P -6 -2'
loop_
_atom_site_label
_atom_site_type_symbol
_atom_site_fract_x
_atom_site_fract_y
_atom_site_fract_z
Lu1 Lu 0.0000 0.2961 0.0000
Ag1 Ag 0.0000 0.6317 0.5000
Pb1 Pb 0.0000 0.0000 0.5000
Pb2 Pb 0.3333 0.6667 0.0000
# Spin magnetization, μB/f.u.: 0.00
# Energy, eV per atom: -3.808

---

# LuAg2Pb PBE relaxed
data_LuAg2Pb
_cell_length_a 7.045
_cell_length_b 7.045
_cell_length_c 7.045
_cell_angle_alpha 90.00
_cell_angle_beta 90.00
_cell_angle_gamma 90.00
_space_group_name_H-M_alt 'F -4 3 m'
_space_group_IT_number 216
_space_group_name_Hall 'F -4 2 3'
loop_
_atom_site_label
_atom_site_type_symbol
_atom_site_fract_x
_atom_site_fract_y
_atom_site_fract_z
Lu1 Lu 0.000 0.000 0.000
Ag1 Ag 0.000 0.000 0.500
Ag2 Ag 0.250 0.250 0.250
Pb1 Pb 0.250 0.250 0.750
# Spin magnetization, μB/f.u.: 0.00
# Energy, eV per atom: -3.641

---

# LuAgPbS3 PBE relaxed
data_LuAgPbS3
_cell_length_a 3.976
_cell_length_b 13.171
_cell_length_c 10.266
_cell_angle_alpha 90.00
_cell_angle_beta 90.00
_cell_angle_gamma 90.00
_space_group_name_H-M_alt 'C m c m'
_space_group_IT_number 63
_space_group_name_Hall '-C 2c 2'
loop_
_atom_site_label
_atom_site_type_symbol
_atom_site_fract_x
_atom_site_fract_y
_atom_site_fract_z
Lu1 Lu 0.000 0.000 0.000
Ag1 Ag 0.000 0.458 0.250
Pb1 Pb 0.000 0.254 0.750
S1 S 0.000 0.084 0.250
S2 S 0.000 0.362 0.044
# ΔE to the lowest computed polymorph, meV per atom: 38
# Spin magnetization, μB/f.u.: 0.00
# Energy, eV per atom: -4.902

---

Please write out number 2 again, unchanged.
# LuAgTeO PBE relaxed
data_LuAgTeO
_cell_length_a 7.592
_cell_length_b 7.251
_cell_length_c 6.453
_cell_angle_alpha 90.00
_cell_angle_beta 103.21
_cell_angle_gamma 90.00
_space_group_name_H-M_alt 'P 1 21/c 1'
_space_group_IT_number 14
loop_
_space_group_symop_operation_xyz
'x,y,z'
'-x,-y,-z'
'-x,y+1/2,-z+1/2'
'x,-y+1/2,z+1/2'
loop_
_atom_site_label
_atom_site_type_symbol
_atom_site_fract_x
_atom_site_fract_y
_atom_site_fract_z
Lu1 Lu 0.037 0.128 0.212
Ag1 Ag 0.417 0.705 0.510
Te1 Te 0.305 0.048 0.662
O1 O 0.054 0.654 0.616
# Spin magnetization, μB/f.u.: 0.00
# Energy, eV per atom: -5.555

---

Question: Look up the energy of the fourth one.
Answer: -3.985 eV per atom

---

Question: Which of these has the lowest energy?
Answer: number 2